PBE-GGA TlCd2W, optimized geometry; excess energy over the best structure of this formula in the dataset = 94 meV/atom; electronic total energy = -3.66 eV/atom; total moment = 0.000 μB per atom; energy relative to the elements = 2.5 eV/f.u.
1.0
-2.350 0.951 -1.484
-0.246 -2.894 -0.443
-5.625 -0.807 8.390
Cd W Tl
2 1 1
direct
0.500 0.500 0.233
0.000 0.000 0.981
0.500 0.500 0.765
0.000 0.000 0.521